# 1
A relaxed ScCrAs crystal. Source: Alexandria via LeMat-Bulk, functional PBE.

POSCAR file:
```
ScCrAs
1.0
4.223 0.000 0.000
-2.111 3.657 0.000
0.000 0.000 3.537
Sc Cr As
1 1 1
Direct
0.000 0.000 0.000
0.333 0.667 0.500
0.667 0.333 0.498
```

Crystal system = trigonal
ΔE_f = -0.351 eV/atom
Space-group type = P3m1 (156)
Volume = 18.207 Å³/atom

=====

# 2
A relaxed ScCrAs2 crystal. Source: Alexandria via LeMat-Bulk, functional PBE.

POSCAR file:
```
ScCrAs2
1.0
3.849 0.000 0.000
0.000 3.620 0.000
0.000 0.000 10.741
Sc Cr As
2 2 4
Direct
0.000 0.000 0.000
0.000 0.500 0.500
0.500 0.000 0.749
0.500 0.500 0.249
0.000 0.000 0.272
0.000 0.500 0.772
0.500 0.000 0.520
0.500 0.500 0.020
```

Crystal system = orthorhombic
ΔE_f = -0.505 eV/atom
Space-group type = Amm2 (38)
ΔE to the lowest computed polymorph = 0.203 eV/atom
Volume = 18.706 Å³/atom

=====

# 3
A relaxed ScCr3As crystal. Source: Alexandria via LeMat-Bulk, functional PBE.

POSCAR file:
```
ScCr3As
1.0
4.674 0.000 0.000
0.000 4.674 0.000
0.000 0.000 4.674
Sc Cr As
1 3 1
Direct
0.000 0.000 0.000
0.000 0.000 0.500
0.000 0.500 0.000
0.500 0.000 0.000
0.500 0.500 0.500
```

Crystal system = cubic
ΔE_f = 1.698 eV/atom
Space-group type = Pm-3m (221)
ΔE to the lowest computed polymorph = 1.093 eV/atom
Volume = 20.423 Å³/atom

=====

# 4
A relaxed ScCrAs2 crystal. Source: Alexandria via LeMat-Bulk, functional PBE.

POSCAR file:
```
ScCrAs2
1.0
6.352 0.000 0.000
0.000 6.352 0.000
0.000 0.000 6.352
Sc Cr As
4 4 8
Direct
0.000 0.000 0.000
0.000 0.500 0.500
0.500 0.000 0.500
0.500 0.500 0.000
0.000 0.000 0.500
0.000 0.500 0.000
0.500 0.000 0.000
0.500 0.500 0.500
0.250 0.250 0.250
0.250 0.250 0.750
0.250 0.750 0.250
0.250 0.750 0.750
0.750 0.250 0.250
0.750 0.250 0.750
0.750 0.750 0.250
0.750 0.750 0.750
```

Crystal system = cubic
ΔE_f = -0.314 eV/atom
Space-group type = Fm-3m (225)
ΔE to the lowest computed polymorph = 0.394 eV/atom
Volume = 16.019 Å³/atom

=====

# 5
A relaxed ScCr4As crystal. Source: Alexandria via LeMat-Bulk, functional PBE.

POSCAR file:
```
ScCr4As
1.0
0.000 3.458 3.458
3.458 0.000 3.458
3.458 3.458 0.000
Sc Cr As
1 4 1
Direct
0.000 0.000 0.000
0.376 0.376 0.376
0.376 0.376 0.871
0.376 0.871 0.376
0.871 0.376 0.376
0.750 0.750 0.750
```

Crystal system = cubic
ΔE_f = 0.151 eV/atom
Space-group type = F-43m (216)
Volume = 13.778 Å³/atom

=====

# 6
A relaxed ScCrAs crystal. Source: Alexandria via LeMat-Bulk, functional PBE.

POSCAR file:
```
ScCrAs
1.0
6.161 0.000 0.000
0.000 6.161 0.000
0.000 0.000 6.161
Sc Cr As
4 4 4
Direct
0.000 0.000 0.000
0.000 0.500 0.500
0.500 0.000 0.500
0.500 0.500 0.000
0.000 0.000 0.500
0.000 0.500 0.000
0.500 0.000 0.000
0.500 0.500 0.500
0.250 0.250 0.250
0.250 0.750 0.750
0.750 0.250 0.750
0.750 0.750 0.250
```

Crystal system = cubic
ΔE_f = -0.338 eV/atom
Space-group type = F-43m (216)
Volume = 19.490 Å³/atom

=====

| no. | size of the total moment (μB per atom) |
| --- | --- |
| 1 | 1.183 |
| 2 | 0.769 |
| 3 | 2.023 |
| 4 | 0.000 |
| 5 | 0.000 |
| 6 | 1.235 |